Material: SmScCd
Method: DFT, GGA-PBE
State: relaxed

Cell: 6.938 6.938 6.938 Å, 150.89 150.89 41.64°
Fractional coordinates of all 3 atoms:
Sm: 0.000 0.000 0.000
Sc: 0.317 0.317 0.000
Cd: 0.677 0.677 0.000

Calculated values
Excess energy over the best structure of this formula in the dataset (eV per atom): 0.0000
SG: I4mm, No. 107

---

Material: PaZnHO4
Method: DFT, GGA-PBE
State: relaxed

Cell: 6.818 6.818 6.818 Å, 133.82 115.82 82.65°
Fractional coordinates of all 14 atoms:
Pa: 0.000 0.000 0.000
Pa: 0.500 0.000 0.500
Zn: 0.500 0.000 0.000
Zn: 0.500 0.500 0.500
H: 0.233 0.483 0.750
H: 0.767 0.517 0.250
O: 0.242 0.260 0.518
O: 0.242 0.724 0.982
O: 0.253 0.198 0.054
O: 0.356 0.802 0.554
O: 0.644 0.198 0.446
O: 0.747 0.802 0.946
O: 0.758 0.276 0.018
O: 0.758 0.740 0.482

Calculated values
SG: Imma, No. 74

---

Material: CrMoIN2
Method: DFT, GGA-PBE
State: relaxed

Cell: 3.956 3.956 5.854 Å, 90.00 90.00 90.00°
Fractional coordinates of all 5 atoms:
Cr: 0.000 0.000 0.000
Mo: 0.500 0.500 0.500
I: 0.500 0.500 0.000
N: 0.000 0.500 0.500
N: 0.500 0.000 0.500

Calculated values
Excess energy over the best structure of this formula in the dataset (eV per atom): 0.0000
SG: P4/mmm, No. 123
Formation energy (no corrections) (eV per atom): 0.74

---

Material: PrNd5Tl2
Method: DFT, GGA-PBE
State: relaxed

Cell: 8.634 8.634 8.634 Å, 154.78 100.96 84.56°
Fractional coordinates of all 8 atoms:
Pr: 0.000 0.000 0.000
Nd: 0.140 0.362 0.778
Nd: 0.417 0.638 0.778
Nd: 0.500 0.000 0.500
Nd: 0.583 0.362 0.222
Nd: 0.860 0.638 0.222
Tl: 0.230 0.730 0.500
Tl: 0.770 0.270 0.500

Calculated values
Excess energy over the best structure of this formula in the dataset (eV per atom): 0.0000
SG: Immm, No. 71

---

VASP energy
In order: -4.161, -7.050, -6.989, -4.299
Unit: eV per atom